Below is a geometry-optimized Li2IrAu structure, with properties calculated at the PBE-GGA level.

```
Li2IrAu
1.0
-2.161 0.858 -1.713
1.701 -0.329 -2.310
-2.083 -6.471 -0.612
Au Ir Li
1 1 2
Direct
0.000 0.000 0.479
0.500 0.500 0.781
0.000 0.000 0.002
0.500 0.500 0.237
```

Computed properties:
The calculation puts the mass density at 11.8 g/cm³. Its total magnetic moment is 0.1057 μB per atom. The calculated formation energy comes out at 0.0057 eV/atom.

---

Below is a geometry-optimized Ba2NdZnTe5 structure, with properties calculated at the PBE-GGA level.

```
Ba2NdZnTe5
1.0
4.596 0.000 0.000
-2.298 10.135 0.000
0.000 0.000 14.174
Ba Nd Zn Te
4 2 2 10
Direct
0.878 0.755 0.831
0.120 0.239 0.693
0.122 0.245 0.331
0.880 0.761 0.193
0.800 0.600 0.521
0.200 0.400 0.021
0.562 0.124 0.930
0.438 0.876 0.430
0.354 0.707 0.014
0.691 0.383 0.864
0.499 0.998 0.767
0.301 0.602 0.673
0.960 0.920 0.530
0.646 0.293 0.514
0.309 0.617 0.364
0.501 0.002 0.267
0.699 0.398 0.173
0.040 0.080 0.030
```

Computed properties:
The uncorrected formation energy comes out at -1.24 eV/atom. The calculation puts the mass density at 5.6 g/cm³. Its total magnetic moment is 0.0000 μB per atom.

---

Below is a geometry-optimized ScPb2Au2 structure, with properties calculated at the PBE-GGA level.

```
ScPb2Au2
1.0
3.835 0.000 0.000
0.000 3.835 0.000
1.917 1.917 8.458
Pb Sc Au
2 1 2
Direct
0.395 0.395 0.211
0.605 0.605 0.789
0.000 0.000 0.000
0.750 0.250 0.500
0.250 0.750 0.500
```

Computed properties:
The calculation puts the mass density at 11.4 g/cm³. Its total magnetic moment is 0.0000 μB per atom. The calculated formation energy comes out at -0.0217 eV/atom.

---

Below is a geometry-optimized PrSm2Pu3Se6 structure, with properties calculated at the PBE-GGA level.

```
PrSm2Pu3Se6
1.0
-3.622 -1.202 1.678
3.898 -1.733 7.172
-0.586 9.306 0.221
Pr Sm Pu Se
1 2 3 6
Direct
0.500 0.000 0.000
0.833 0.664 0.667
0.167 0.336 0.333
0.500 0.500 0.000
0.834 0.166 0.668
0.166 0.834 0.332
0.330 0.917 0.661
0.666 0.586 0.333
0.670 0.083 0.339
0.000 0.257 0.000
0.000 0.743 0.000
0.334 0.414 0.667
```

Computed properties:
The uncorrected formation energy comes out at -1.69 eV/atom. The calculation puts the mass density at 8.9 g/cm³. Its total magnetic moment is 0.4772 μB per atom.